[1]
Here is a geometry-optimized Be4AsOs structure from the Alexandria database. Energies are from GGA-PBE.

Values from the calculation:
Formation enthalpy at 0 K (meV/atom): -100.0
Uncorrected energy (eV/atom): -5.231

Cell: 6.2292 6.2292 6.2292 Å, 90.00 90.00 90.00°
Space group F-43m (No. 216)
One atom of each set of equivalent atoms:
Be 0.1234 0.1234 0.3766 (multiplicity 16)
As 0.0000 0.0000 0.0000 (multiplicity 4)
Os 0.2500 0.2500 0.7500 (multiplicity 4)


[2]
Here is a geometry-optimized BeAs2Os structure from the Alexandria database. Energies are from GGA-PBE.

Values from the calculation:
Formation enthalpy at 0 K (meV/atom): 492.6
Uncorrected energy (eV/atom): -5.571

Cell: 5.2445 7.0413 3.1612 Å, 90.00 90.19 90.00°
Space group C2/m (No. 12)
One atom of each set of equivalent atoms:
Be 0.0000 0.0000 0.0000 (multiplicity 2)
As 0.2500 0.2500 0.5000 (multiplicity 4)
Os 0.0000 0.5000 0.0000 (multiplicity 2)


[3]
Here is a geometry-optimized BeAs2Os structure from the Alexandria database. Energies are from GGA-PBE.

Values from the calculation:
Formation enthalpy at 0 K (meV/atom): 298.1
Uncorrected energy (eV/atom): -5.766

Cell: 7.9875 3.1491 4.6768 Å, 90.00 93.86 90.00°
Space group C2/m (No. 12)
One atom of each set of equivalent atoms:
Be 0.0000 0.0000 0.0000 (multiplicity 2)
As 0.2243 0.0000 0.7525 (multiplicity 4)
Os 0.0000 0.5000 0.5000 (multiplicity 2)


[4]
Here is a geometry-optimized BeAs2Os structure from the Alexandria database. Energies are from GGA-PBE.

Values from the calculation:
Formation enthalpy at 0 K (meV/atom): 108.4
Uncorrected energy (eV/atom): -5.955

Cell: 3.0461 3.2124 7.2995 Å, 90.00 90.51 90.00°
Space group Pm (No. 6)
One atom of each set of equivalent atoms:
Be 0.0000 0.0000 0.0000 (multiplicity 1)
As 0.5032 0.0000 0.3441 (multiplicity 1)
As 0.9946 0.5000 0.7807 (multiplicity 1)
Os 0.5013 0.5000 0.0777 (multiplicity 1)


[5]
Here is a geometry-optimized BeAs2Os structure from the Alexandria database. Energies are from GGA-PBE.

Values from the calculation:
Formation enthalpy at 0 K (meV/atom): 326.5
Uncorrected energy (eV/atom): -5.737

Cell: 3.0876 3.0876 21.2333 Å, 90.00 90.00 120.00°
Space group R-3m (No. 166, hexagonal axes)
One atom of each set of equivalent atoms:
Be 0.0000 0.0000 0.0000 (multiplicity 3)
As 0.0000 0.0000 0.2549 (multiplicity 6)
Os 0.0000 0.0000 0.5000 (multiplicity 3)


[6]
Here is a geometry-optimized BeAs2Os structure from the Alexandria database. Energies are from GGA-PBE.

Values from the calculation:
Formation enthalpy at 0 K (meV/atom): 448.2
Uncorrected energy (eV/atom): -5.616

Cell: 3.3716 4.5358 7.4833 Å, 90.00 90.00 90.00°
Space group Immm (No. 71)
One atom of each set of equivalent atoms:
Be 0.0000 0.0000 0.0000 (multiplicity 2)
As 0.0000 0.5000 0.2894 (multiplicity 4)
Os 0.0000 0.0000 0.5000 (multiplicity 2)


[7]
Here is a geometry-optimized BeAs2Os structure from the Alexandria database. Energies are from GGA-PBE.

Values from the calculation:
Formation enthalpy at 0 K (meV/atom): 567.2
Uncorrected energy (eV/atom): -5.497

Cell: 4.2657 4.2657 3.2292 Å, 90.00 90.00 90.00°
Space group P4/mmm (No. 123)
One atom of each set of equivalent atoms:
Be 0.0000 0.0000 0.0000 (multiplicity 1)
As 0.0000 0.5000 0.5000 (multiplicity 2)
Os 0.5000 0.5000 0.0000 (multiplicity 1)


[8]
Here is a geometry-optimized Be2AsOs structure from the Alexandria database. Energies are from GGA-PBE.

Values from the calculation:
Formation enthalpy at 0 K (meV/atom): 414.4
Uncorrected energy (eV/atom): -5.419

Cell: 5.8023 5.8023 5.8023 Å, 90.00 90.00 90.00°
Space group F-43m (No. 216)
One atom of each set of equivalent atoms:
Be 0.0000 0.0000 0.0000 (multiplicity 4)
Be 0.2500 0.2500 0.2500 (multiplicity 4)
As 0.2500 0.2500 0.7500 (multiplicity 4)
Os 0.0000 0.0000 0.5000 (multiplicity 4)


DOS(E_F)
In order: 1.41, 2.09, 1.06, 1.82, 1.89, 1.48, 2.17, 2.68
Unit: states/eV/f.u.